Record 1
VASP calculation (GGA-PBE) on crystalline ZrBe2Ag2 at its relaxed geometry.

abc: 7.4821 7.4821 2.7131
angles: 90.00 90.00 90.00
With the nearest neighbours (Å) after each atom.
Element x y z (fractional)
Be1 0.1698 0.6698 0.5000  6 Ag 2.52-2.64, 2 Be 2.71
Be2 0.8302 0.3302 0.5000  6 Ag 2.52-2.64, 2 Be 2.71
Be3 0.3302 0.1698 0.5000  6 Ag 2.52-2.64, 2 Be 2.71
Be4 0.6698 0.8302 0.5000  6 Ag 2.52-2.64, 2 Be 2.71
Ag1 0.3700 0.8700 0.0000  6 Be 2.52-2.64, 3 Ag 2.71-2.75
Ag2 0.8700 0.6300 0.0000  6 Be 2.52-2.64, 3 Ag 2.71-2.75
Ag3 0.1300 0.3700 0.0000  6 Be 2.52-2.64, 3 Ag 2.71-2.75
Ag4 0.6300 0.1300 0.0000  6 Be 2.52-2.64, 3 Ag 2.71-2.75
Zr1 0.0000 0.0000 0.0000  2 Zr 2.71, 4 Ag 2.93
Zr2 0.5000 0.5000 0.0000  2 Zr 2.71, 4 Ag 2.93

Calculated values
As for the total energy: -4.1648 eV per atom. Its symmetry is P4/mbm (127). The calculation puts the spin magnetization at 0.00 Bohr magnetons per cell. The value obtained for the energy above the lowest structure with this stoichiometry is 0 meV per atom.

Record 2
VASP calculation (GGA-PBE) on crystalline IrAu2SeI at its relaxed geometry.

abc: 5.2197 4.9849 5.2197
angles: 90.00 90.00 90.00
With the nearest neighbours (Å) after each atom.
Element x y z (fractional)
Ir1 0.0000 0.5000 0.0000  2 I 2.49
I1 0.0000 0.0000 0.0000  2 Ir 2.49, 4 Au 2.61
Au1 0.5000 0.0000 0.0000  2 I 2.61
Au2 0.0000 0.0000 0.5000  2 I 2.61
Se1 0.5000 0.5000 0.5000  8 Au 3.61, 4 Ir 3.69

Calculated values
As for the total energy: -2.6416 eV per atom. Its symmetry is P4/mmm (123). The calculation puts the spin magnetization at 0.00 Bohr magnetons per cell. Its uncorrected formation energy is 1.45 eV/atom.

Record 3
VASP calculation (GGA-PBE) on crystalline RbTeIO2 at its relaxed geometry.

abc: 4.4388 4.4388 6.1756
angles: 90.00 90.00 90.00
With the nearest neighbours (Å) after each atom.
Element x y z (fractional)
Rb1 0.5000 0.5000 0.5000  4 I 3.14
I1 0.0000 0.0000 0.5000  2 Te 3.09, 4 Rb 3.14
Te1 0.0000 0.0000 0.0000  4 O 2.22
O1 0.5000 0.0000 0.0000  2 Te 2.22
O2 0.0000 0.5000 0.0000  2 Te 2.22

Calculated values
As for the total energy: -3.7373 eV per atom. Its symmetry is P4/mmm (123). The calculation puts the spin magnetization at 0.00 Bohr magnetons per cell. The value obtained for the energy above the lowest structure with this stoichiometry is 0 meV per atom. Its uncorrected formation energy is -0.62 eV/atom.

Record 4
VASP calculation (GGA-PBE) on crystalline Tl2IrBrO at its relaxed geometry.

abc: 5.7296 3.7034 5.7296
angles: 90.00 90.00 90.00
With the nearest neighbours (Å) after each atom.
Element x y z (fractional)
O1 0.0000 0.5000 0.0000  2 Br 1.85
Br1 0.0000 0.0000 0.0000  2 O 1.85
Ir1 0.5000 0.5000 0.5000  8 Tl 3.41, 2 Ir 3.70
Tl1 0.5000 0.0000 0.0000  2 Br 2.86
Tl2 0.0000 0.0000 0.5000  2 Br 2.86

Calculated values
As for the total energy: -3.0910 eV per atom. Its symmetry is P4/mmm (123). The calculation puts the spin magnetization at 0.23 Bohr magnetons per cell. Its uncorrected formation energy is 0.95 eV/atom.